Entry 1:
Material: Lu2BiPb
Method: DFT, PBE-GGA
State: optimized geometry

The energy of formation comes out at -348 meV per atom. For the energy relative to the lowest polymorph listed for this composition, the calculation gives 138 meV/atom. The calculated density is 11.314 g/cm3. The total magnetization comes out at 0.0002 μB/atom. Its crystal system is cubic. The calculation puts the total energy at -4.506 eV/atom.

It has space group Fm-3m (No. 225), with a = 7.662 Å, b = 7.662 Å, c = 7.662 Å, α = 90.00°, β = 90.00° and γ = 90.00°. The inequivalent atoms are Lu at (0.250, 0.250, 0.250), Bi at (0.000, 0.000, 0.000) and Pb at (0.000, 0.000, 0.500).

---

Entry 2:
Material: LuBiPb2
Method: DFT, PBE-GGA
State: optimized geometry

The energy of formation comes out at -196 meV per atom. For the energy relative to the lowest polymorph listed for this composition, the calculation gives 0 meV/atom. The calculated density is 11.326 g/cm3. The total magnetization comes out at 0.0000 μB/atom. Its crystal system is tetragonal. The calculation puts the total energy at -4.151 eV/atom.

It has space group P4/mmm (No. 123), with a = 4.836 Å, b = 4.836 Å, c = 5.005 Å, α = 90.00°, β = 90.00° and γ = 90.00°. The inequivalent atoms are Lu at (0.000, 0.000, 0.000), Bi at (0.500, 0.500, 0.000) and Pb at (0.000, 0.500, 0.500).

---

Entry 3:
Material: PmLuBiPb
Method: DFT, PBE-GGA
State: optimized geometry

The energy of formation comes out at -430 meV per atom. The calculated density is 10.327 g/cm3. The total magnetization comes out at 0.0000 μB/atom. Its crystal system is cubic. The calculation puts the total energy at -4.645 eV/atom.

It has space group F-43m (No. 216), with a = 7.794 Å, b = 7.794 Å, c = 7.794 Å, α = 90.00°, β = 90.00° and γ = 90.00°. The inequivalent atoms are Pm at (0.000, 0.000, 0.000), Lu at (0.000, 0.000, 0.500), Bi at (0.250, 0.250, 0.750) and Pb at (0.250, 0.250, 0.250).

---

What is the calculated density in the first record?
11.314 g/cm3